GdWC2: optimized geometry, PBE-GGA.

The space group is R-3m (No. 166, hexagonal axes) and the conventional cell measures 3.2413, 3.2413 and 16.8403 Å, with angles of 90.00, 90.00 and 120.00 degrees. The asymmetric unit holds Gd at (0.0000, 0.0000, 0.0000), W at (0.0000, 0.0000, 0.5000) and C at (0.0000, 0.0000, 0.2369).

Its density of states at the Fermi level is 0.437 states/eV/atom. The formation energy is -118 meV/atom. The calculation puts the mass density at 11871 kg/m³. The calculated volume comes out at 12.77 Å³ per atom.